Record 1
Below is Pm2NpS6 after structural relaxation, with properties calculated at the PBE level.

Summary:
Crystal system: monoclinic

Unit cell a=6.4917 b=7.3905 c=9.0993 alpha=90.00 beta=92.86 gamma=90.00
With the nearest neighbours (Å) after each atom.
Atoms (fractional coordinates):
Np  0.0000  0.0000  0.5000  6 S 2.50-2.55
Np  0.5000  0.5000  0.0000  6 S 2.50-2.55
S  0.6761  0.1698  0.5595  1 Np 2.53
S  0.1761  0.3302  0.0595  1 Np 2.53
S  0.8239  0.6698  0.9405  1 Np 2.53
S  0.3435  0.8053  0.0621  1 Np 2.55
S  0.6302  0.4638  0.2616  1 Np 2.50
S  0.3698  0.5362  0.7384  1 Np 2.50
S  0.3239  0.8302  0.4405  1 Np 2.53
S  0.8698  0.9638  0.2384  1 Np 2.50
S  0.6565  0.1947  0.9379  1 Np 2.55
S  0.1565  0.3053  0.4379  1 Np 2.55
S  0.8435  0.6947  0.5621  1 Np 2.55
S  0.1302  0.0362  0.7616  1 Np 2.50
Pm  0.4673  0.1076  0.2535  7 S 2.83-3.07
Pm  0.9673  0.3924  0.7535  7 S 2.83-3.07
Pm  0.0327  0.6076  0.2465  7 S 2.83-3.07
Pm  0.5327  0.8924  0.7465  7 S 2.83-3.07

***

Record 2
Below is Ho3Si2Sn3Rh9 after structural relaxation, with properties calculated at the PBE level.

Summary:
Crystal system: hexagonal

Unit cell a=9.7885 b=9.7885 c=3.5098 alpha=90.00 beta=90.00 gamma=120.00
With the nearest neighbours (Å) after each atom.
Atoms (fractional coordinates):
Sn  0.2395  0.2395  0.5000  8 Rh 2.72-2.77
Sn  0.7605  0.0000  0.5000  8 Rh 2.72-2.77
Sn  0.0000  0.7605  0.5000  8 Rh 2.72-2.77
Ho  0.0000  0.4003  0.5000  10 Rh 2.89-3.15, 2 Si 2.99
Ho  0.4003  0.0000  0.5000  10 Rh 2.89-3.15, 2 Si 2.99
Ho  0.5997  0.5997  0.5000  10 Rh 2.89-3.15, 2 Si 2.99
Rh  0.1661  0.0000  0.0000  4 Sn 2.72, 4 Rh 2.82-3.01, 2 Ho 2.89
Rh  0.0000  0.1661  0.0000  4 Sn 2.72, 4 Rh 2.82-3.01, 2 Ho 2.89
Rh  0.2980  0.4823  0.0000  2 Si 2.41
Rh  0.8339  0.8339  0.0000  4 Sn 2.72, 4 Rh 2.82-3.01, 2 Ho 2.89
Rh  0.5177  0.8157  0.0000  2 Si 2.41
Rh  0.7020  0.1843  0.0000  2 Si 2.41
Rh  0.1843  0.7020  0.0000  2 Si 2.41
Rh  0.4823  0.2980  0.0000  2 Si 2.41
Rh  0.8157  0.5177  0.0000  2 Si 2.41
Si  0.3333  0.6667  0.5000  6 Rh 2.41
Si  0.6667  0.3333  0.5000  6 Rh 2.41

***

Record 3
Below is TbEuZnCd after structural relaxation, with properties calculated at the PBE level.

Summary:
Formation energy: -107 kJ/mol of formula units
Crystal system: cubic

Unit cell a=5.3044 b=5.3044 c=5.3044 alpha=60.00 beta=60.00 gamma=60.00
With the nearest neighbours (Å) after each atom.
Atoms (fractional coordinates):
Eu  0.5000  0.5000  0.5000  4 Zn 3.25, 4 Cd 3.25
Zn  0.2500  0.2500  0.2500  4 Tb 3.25, 4 Eu 3.25
Tb  0.0000  0.0000  0.0000  4 Cd 3.25, 4 Zn 3.25
Cd  0.7500  0.7500  0.7500  4 Tb 3.25, 4 Eu 3.25

***

no.,total energy (eV per atom),Fermi-level density of states (states/eV per cell)
1,-6.762,0.86
2,-6.945,3.50
3,-4.551,5.61